Below is Tm2Be2GaCo5 after structural relaxation, with properties calculated at the PBE level.

Structure (extended XYZ):
```
20
Lattice="9.042 0.000 0.000 0.000 9.042 0.000 0.000 0.000 3.127" Properties=species:S:1:pos:R:3 pbc="T T T"
Tm 1.615 2.906 0.000
Tm 2.906 7.427 0.000
Tm 6.136 1.615 0.000
Tm 7.427 6.136 0.000
Be 1.067 5.588 0.000
Be 3.454 1.067 0.000
Be 5.588 7.975 0.000
Be 7.975 3.454 0.000
Ga 0.000 0.000 0.000
Ga 4.521 4.521 0.000
Co 0.000 4.521 1.564
Co 0.584 7.088 1.564
Co 1.954 0.584 1.564
Co 2.567 5.105 1.564
Co 3.937 2.567 1.564
Co 4.521 0.000 1.564
Co 5.105 6.475 1.564
Co 6.475 3.937 1.564
Co 7.088 8.458 1.564
Co 8.458 1.954 1.564
```

Summary:
Space-group type: P4/mbm, No. 127
E_tot (eV for the cell shown): -115.31
DFT formation energy (eV/atom): -0.2706